Entry 1:
# Pu2MnAs4Rh3 GGA-PBE relaxed
data_Pu2MnAs4Rh3
_cell_length_a 4.2401
_cell_length_b 4.2401
_cell_length_c 10.1863
_cell_angle_alpha 90.00
_cell_angle_beta 90.00
_cell_angle_gamma 90.00
_space_group_name_H-M_alt 'P -4 m 2'
_space_group_IT_number 115
_space_group_name_Hall 'P -4 -2'
loop_
_atom_site_label
_atom_site_type_symbol
_atom_site_fract_x
_atom_site_fract_y
_atom_site_fract_z
Pu1 Pu 0.0000 0.5000 0.2427
Mn1 Mn 0.0000 0.0000 0.5000
As1 As 0.0000 0.0000 0.0000
As2 As 0.0000 0.5000 0.6367
As3 As 0.5000 0.5000 0.0000
Rh1 Rh 0.0000 0.5000 0.8771
Rh2 Rh 0.5000 0.5000 0.5000
# **Total DFT energy (no corrections)**: -8.475 eV/atom
# **E_form**: -626 meV per atom

=====

Entry 2:
# TmTl2Ag2Se4 GGA-PBE relaxed
data_TmTl2Ag2Se4
_cell_length_a 15.4370
_cell_length_b 4.0949
_cell_length_c 8.0380
_cell_angle_alpha 90.00
_cell_angle_beta 109.62
_cell_angle_gamma 90.00
_space_group_name_H-M_alt 'C 1 2/m 1'
_space_group_IT_number 12
_space_group_name_Hall '-C 2y'
loop_
_atom_site_label
_atom_site_type_symbol
_atom_site_fract_x
_atom_site_fract_y
_atom_site_fract_z
Tm1 Tm 0.0000 0.0000 0.0000
Tl1 Tl 0.1307 0.0000 0.5671
Ag1 Ag 0.1791 0.5000 0.9820
Se1 Se 0.0089 0.5000 0.7577
Se2 Se 0.1956 0.0000 0.2029
# **Total DFT energy (no corrections)**: -3.881 eV/atom
# **Formation energy from raw total energies**: -0.676 eV/atom

=====

Entry 3:
# CaSm2PtO6 GGA-PBE relaxed
data_CaSm2PtO6
_cell_length_a 5.5947
_cell_length_b 5.9420
_cell_length_c 9.8129
_cell_angle_alpha 90.00
_cell_angle_beta 124.21
_cell_angle_gamma 90.00
_space_group_name_H-M_alt 'P 1 21/c 1'
_space_group_IT_number 14
_space_group_name_Hall '-P 2ybc'
loop_
_atom_site_label
_atom_site_type_symbol
_atom_site_fract_x
_atom_site_fract_y
_atom_site_fract_z
Ca1 Ca 0.0000 0.0000 0.0000
Sm1 Sm 0.2713 0.0658 0.7476
Pt1 Pt 0.5000 0.0000 0.5000
O1 O 0.1356 0.0606 0.2683
O2 O 0.2638 0.6835 0.0608
O3 O 0.3989 0.2105 0.0732
# **Total DFT energy (no corrections)**: -7.213 eV/atom
# **Formation energy from raw total energies**: -2.490 eV/atom

=====

Entry 4:
# Rb2HfSc2Se6 GGA-PBE relaxed
data_Rb2HfSc2Se6
_cell_length_a 6.7922
_cell_length_b 11.7551
_cell_length_c 8.5016
_cell_angle_alpha 90.00
_cell_angle_beta 105.73
_cell_angle_gamma 90.00
_space_group_name_H-M_alt 'C 1 2/m 1'
_space_group_IT_number 12
_space_group_name_Hall '-C 2y'
loop_
_atom_site_label
_atom_site_type_symbol
_atom_site_fract_x
_atom_site_fract_y
_atom_site_fract_z
Rb1 Rb 0.0000 0.1676 0.0000
Hf1 Hf 0.0000 0.0000 0.5000
Sc1 Sc 0.0000 0.3326 0.5000
Se1 Se 0.2282 0.1634 0.6854
Se2 Se 0.2326 0.5000 0.6845
# **Total DFT energy (no corrections)**: -5.698 eV/atom
# **Formation energy from raw total energies**: -1.566 eV/atom

=====

Entry 5:
# DyGaSe3 GGA-PBE relaxed
data_DyGaSe3
_cell_length_a 7.0372
_cell_length_b 7.2738
_cell_length_c 11.4669
_cell_angle_alpha 90.00
_cell_angle_beta 120.14
_cell_angle_gamma 90.00
_space_group_name_H-M_alt 'P 1 21/c 1'
_space_group_IT_number 14
_space_group_name_Hall '-P 2ybc'
loop_
_atom_site_label
_atom_site_type_symbol
_atom_site_fract_x
_atom_site_fract_y
_atom_site_fract_z
Dy1 Dy 0.1543 0.1310 0.2183
Ga1 Ga 0.2640 0.6622 0.1191
Se1 Se 0.0804 0.1987 0.9319
Se2 Se 0.2482 0.6704 0.9063
Se3 Se 0.4605 0.0537 0.8039
# **Total DFT energy (no corrections)**: -4.732 eV/atom
# **Formation energy from raw total energies**: -1.115 eV/atom
# **Energy relative to the lowest polymorph listed for this composition**: 0 kJ/mol of formula units

=====

Entry 6:
# Ti3GaSb2 GGA-PBE relaxed
data_Ti3GaSb2
_cell_length_a 11.7022
_cell_length_b 6.8023
_cell_length_c 6.3122
_cell_angle_alpha 90.00
_cell_angle_beta 90.00
_cell_angle_gamma 90.00
_space_group_name_H-M_alt 'C m c m'
_space_group_IT_number 63
_space_group_name_Hall '-C 2c 2'
loop_
_atom_site_label
_atom_site_type_symbol
_atom_site_fract_x
_atom_site_fract_y
_atom_site_fract_z
Ti1 Ti 0.0000 0.0000 0.0000
Ti2 Ti 0.1470 0.5000 0.0000
Ga1 Ga 0.0000 0.3141 0.2500
Sb1 Sb 0.1738 0.1616 0.7500
# **Total DFT energy (no corrections)**: -6.143 eV/atom
# **Formation energy from raw total energies**: -0.317 eV/atom

=====

Entry 7:
# Nd2Dy3Ho2 GGA-PBE relaxed
data_Nd2Dy3Ho2
_cell_length_a 16.6774
_cell_length_b 3.5095
_cell_length_c 8.7367
_cell_angle_alpha 90.00
_cell_angle_beta 116.03
_cell_angle_gamma 90.00
_space_group_name_H-M_alt 'C 1 2/m 1'
_space_group_IT_number 12
_space_group_name_Hall '-C 2y'
loop_
_atom_site_label
_atom_site_type_symbol
_atom_site_fract_x
_atom_site_fract_y
_atom_site_fract_z
Nd1 Nd 0.0795 0.0000 0.2013
Dy1 Dy 0.0000 0.0000 0.5000
Dy2 Dy 0.2207 0.0000 0.6481
Ho1 Ho 0.1393 0.5000 0.9069
# **Total DFT energy (no corrections)**: -4.512 eV/atom
# **E_form**: 130 meV per atom
# **Energy relative to the lowest polymorph listed for this composition**: 76 kJ/mol of formula units

=====

Entry 8:
# YAs2Cl GGA-PBE relaxed
data_YAs2Cl
_cell_length_a 3.4635
_cell_length_b 3.4635
_cell_length_c 26.7988
_cell_angle_alpha 90.00
_cell_angle_beta 90.00
_cell_angle_gamma 120.00
_space_group_name_H-M_alt 'R -3 m'
_space_group_IT_number 166
_space_group_name_Hall '-R 3 2"'
loop_
_atom_site_label
_atom_site_type_symbol
_atom_site_fract_x
_atom_site_fract_y
_atom_site_fract_z
Y1 Y 0.0000 0.0000 0.0000
As1 As 0.0000 0.0000 0.2502
Cl1 Cl 0.0000 0.0000 0.5000
# **Total DFT energy (no corrections)**: -4.462 eV/atom
# **Formation energy from raw total energies**: -0.059 eV/atom
# **Energy relative to the lowest polymorph listed for this composition**: 370 kJ/mol of formula units

=====

Entry 9:
# SrMnSi2Ir GGA-PBE relaxed
data_SrMnSi2Ir
_cell_length_a 4.0926
_cell_length_b 4.0926
_cell_length_c 10.6442
_cell_angle_alpha 90.00
_cell_angle_beta 90.00
_cell_angle_gamma 90.00
_space_group_name_H-M_alt 'I -4 m 2'
_space_group_IT_number 119
_space_group_name_Hall 'I -4 -2'
loop_
_atom_site_label
_atom_site_type_symbol
_atom_site_fract_x
_atom_site_fract_y
_atom_site_fract_z
Sr1 Sr 0.0000 0.0000 0.0000
Mn1 Mn 0.0000 0.5000 0.7500
Si1 Si 0.0000 0.0000 0.3714
Ir1 Ir 0.0000 0.5000 0.2500
# **Total DFT energy (no corrections)**: -6.723 eV/atom
# **Formation energy from raw total energies**: -0.611 eV/atom
# **Energy relative to the lowest polymorph listed for this composition**: 0 kJ/mol of formula units

=====

Entry 10:
# Pr2ScTe GGA-PBE relaxed
data_Pr2ScTe
_cell_length_a 19.0842
_cell_length_b 3.9544
_cell_length_c 7.1640
_cell_angle_alpha 90.00
_cell_angle_beta 96.33
_cell_angle_gamma 90.00
_space_group_name_H-M_alt 'C 1 m 1'
_space_group_IT_number 8
_space_group_name_Hall 'C -2y'
loop_
_atom_site_label
_atom_site_type_symbol
_atom_site_fract_x
_atom_site_fract_y
_atom_site_fract_z
Pr1 Pr 0.0000 0.0000 0.0000
Pr2 Pr 0.0129 0.5000 0.5125
Pr3 Pr 0.2273 0.0000 0.4208
Pr4 Pr 0.2415 0.5000 0.9233
Sc1 Sc 0.3711 0.0000 0.7366
Sc2 Sc 0.3710 0.5000 0.3417
Te1 Te 0.1169 0.5000 0.2011
Te2 Te 0.1230 0.0000 0.7282
# **Total DFT energy (no corrections)**: -5.221 eV/atom
# **Formation energy from raw total energies**: -0.463 eV/atom
# **Energy relative to the lowest polymorph listed for this composition**: 38 kJ/mol of formula units

=====

Entry 11:
# CdPtCl2 GGA-PBE relaxed
data_CdPtCl2
_cell_length_a 3.3984
_cell_length_b 7.2702
_cell_length_c 8.8673
_cell_angle_alpha 90.00
_cell_angle_beta 90.00
_cell_angle_gamma 90.00
_space_group_name_H-M_alt 'C m m 2'
_space_group_IT_number 35
_space_group_name_Hall 'C 2 -2'
loop_
_atom_site_label
_atom_site_type_symbol
_atom_site_fract_x
_atom_site_fract_y
_atom_site_fract_z
Cd1 Cd 0.0000 0.0000 0.0000
Pt1 Pt 0.0000 0.5000 0.2387
Cl1 Cl 0.0000 0.0000 0.4130
Cl2 Cl 0.0000 0.5000 0.7910
# **Total DFT energy (no corrections)**: -2.929 eV/atom
# **Formation energy from raw total energies**: -0.267 eV/atom
# **Energy relative to the lowest polymorph listed for this composition**: 66 kJ/mol of formula units

=====

Entry 12:
# Y6Co2Te GGA-PBE relaxed
data_Y6Co2Te
_cell_length_a 9.4378
_cell_length_b 9.7026
_cell_length_c 10.1094
_cell_angle_alpha 90.00
_cell_angle_beta 90.00
_cell_angle_gamma 90.00
_space_group_name_H-M_alt 'I m m m'
_space_group_IT_number 71
_space_group_name_Hall '-I 2 2'
loop_
_atom_site_label
_atom_site_type_symbol
_atom_site_fract_x
_atom_site_fract_y
_atom_site_fract_z
Y1 Y 0.0000 0.2052 0.2341
Y2 Y 0.1807 0.5000 0.1744
Y3 Y 0.2156 0.3175 0.5000
Co1 Co 0.0000 0.3400 0.0000
Co2 Co 0.0000 0.5000 0.3886
Te1 Te 0.0000 0.0000 0.0000
Te2 Te 0.0000 0.0000 0.5000
# **Total DFT energy (no corrections)**: -6.598 eV/atom
# **Formation energy from raw total energies**: -0.360 eV/atom

=====

Question: What is the total DFT energy (no corrections) in the fourth record?
Answer: -5.698 eV/atom